# 1
Li2ReOs | PBE | optimized geometry

* energy: -6.15 eV/atom

Cell: 3.1807 3.1807 5.0410 Å, 90.00 90.00 90.00°
Closest atoms and distances in Å follow each position.
Positions (direct):
Os (0.5000, 0.5000, 0.2500)  2 Re 2.52, 8 Li 2.56
Re (0.5000, 0.5000, 0.7500)  2 Os 2.52, 8 Li 2.60
Li (0.0000, 0.0000, 0.4905)  2 Li 2.42-2.62, 4 Os 2.56, 4 Re 2.60
Li (0.0000, 0.0000, 0.0095)  2 Li 2.42-2.62, 4 Os 2.56, 4 Re 2.60


# 2
SiB2 | PBE | optimized geometry

* energy: -6.00 eV/atom

Cell: 3.4680 3.0239 5.9578 Å, 90.00 89.96 90.00°
Closest atoms and distances in Å follow each position.
Positions (direct):
Si (0.7971, 0.5000, 0.4744)  3 B 1.96-2.04
Si (0.2262, 0.5000, 0.9871)  3 B 1.97-2.01
B (0.3071, 0.0000, 0.4999)  3 B 1.76-1.79
B (0.2938, 0.5000, 0.6525)  2 B 1.76
B (0.5033, 0.0000, 0.2217)  3 B 1.76-1.79
B (0.7290, 0.5000, 0.1470)  2 B 1.76, 2 Si 1.96-1.97


# 3
CaPm8Dy6 | PBE | optimized geometry

* energy: -4.33 eV/atom

Cell: 8.2691 8.2691 8.2691 Å, 72.30 72.30 72.30°
Closest atoms and distances in Å follow each position.
Positions (direct):
Dy (0.8246, 0.5648, 0.3820)  7 Pm 3.41-3.79, 3 Dy 3.69-3.76
Dy (0.1754, 0.4352, 0.6180)  7 Pm 3.41-3.79, 3 Dy 3.69-3.76
Dy (0.3820, 0.8246, 0.5648)  7 Pm 3.41-3.79, 3 Dy 3.69-3.76
Dy (0.6180, 0.1754, 0.4352)  7 Pm 3.41-3.79, 3 Dy 3.69-3.76
Dy (0.5648, 0.3820, 0.8246)  7 Pm 3.41-3.79, 3 Dy 3.69-3.76
Dy (0.4352, 0.6180, 0.1754)  7 Pm 3.41-3.79, 3 Dy 3.69-3.76
Pm (0.9484, 0.1379, 0.6198)  1 Ca 3.12, 2 Pm 3.22-3.38, 2 Dy 3.41-3.45
Pm (0.2387, 0.2387, 0.2387)  6 Pm 3.38-3.62, 3 Dy 3.78
Pm (0.1379, 0.6198, 0.9484)  1 Ca 3.12, 2 Pm 3.22-3.38, 2 Dy 3.41-3.45
Pm (0.8621, 0.3802, 0.0516)  1 Ca 3.12, 2 Pm 3.22-3.38, 2 Dy 3.41-3.45
Pm (0.7613, 0.7613, 0.7613)  6 Pm 3.38-3.62, 3 Dy 3.78
Pm (0.6198, 0.9484, 0.1379)  1 Ca 3.12, 2 Pm 3.22-3.38, 2 Dy 3.41-3.45
Pm (0.3802, 0.0516, 0.8621)  1 Ca 3.12, 2 Pm 3.22-3.38, 2 Dy 3.41-3.45
Pm (0.0516, 0.8621, 0.3802)  1 Ca 3.12, 2 Pm 3.22-3.38, 2 Dy 3.41-3.45
Ca (0.0000, 0.0000, 0.0000)  6 Pm 3.12


# 4
NdErSi2Pt2 | PBE | optimized geometry

* energy: -6.51 eV/atom

Cell: 4.1655 4.1655 8.2282 Å, 90.00 90.00 120.00°
Closest atoms and distances in Å follow each position.
Positions (direct):
Si (0.3333, 0.6667, 0.7430)  3 Pt 2.41
Si (0.6667, 0.3333, 0.2570)  3 Pt 2.41
Pt (0.3333, 0.6667, 0.2661)  3 Si 2.41
Pt (0.6667, 0.3333, 0.7339)  3 Si 2.41
Nd (0.0000, 0.0000, 0.0000)  6 Si 3.20, 6 Pt 3.25
Er (0.0000, 0.0000, 0.5000)  6 Pt 3.08, 6 Si 3.13


# 5
AlGa4Ag2 | PBE | optimized geometry

* energy: -3.07 eV/atom

Cell: 3.1053 3.1053 15.1035 Å, 84.10 84.10 60.00°
Closest atoms and distances in Å follow each position.
Positions (direct):
Ga (0.1433, 0.1433, 0.5702)  3 Ga 2.77, 3 Ag 2.84
Ga (0.8567, 0.8567, 0.4298)  3 Ga 2.77, 3 Ag 2.84
Ga (0.3797, 0.3797, 0.8608)  3 Al 2.75, 3 Ag 2.80
Ga (0.6203, 0.6203, 0.1392)  3 Al 2.75, 3 Ag 2.80
Ag (0.7609, 0.7609, 0.7172)  6 Ga 2.80-2.84, 6 Ag 3.11
Ag (0.2391, 0.2391, 0.2828)  6 Ga 2.80-2.84, 6 Ag 3.11
Al (0.0000, 0.0000, 0.0000)  6 Ga 2.75


# 6
Cs3TcSb | PBE | optimized geometry

* energy: -2.43 eV/atom

Cell: 7.3761 7.3761 7.3761 Å, 90.00 90.00 90.00°
Closest atoms and distances in Å follow each position.
Positions (direct):
Cs (0.0000, 0.0000, 0.5000)  2 Sb 3.69
Cs (0.0000, 0.5000, 0.0000)  2 Sb 3.69
Cs (0.5000, 0.0000, 0.0000)  2 Sb 3.69
Sb (0.0000, 0.0000, 0.0000)  6 Cs 3.69
Tc (0.5000, 0.5000, 0.5000)  12 Cs 5.22


# 7
K2Li2Zn | PBE | optimized geometry

* energy: -1.31 eV/atom

Cell: 7.5058 7.5058 6.0647 Å, 90.00 90.00 90.00°
Closest atoms and distances in Å follow each position.
Positions (direct):
Li (0.3491, 0.8491, 0.0000)  2 Zn 2.85
Li (0.1509, 0.3491, 0.0000)  2 Zn 2.85
Li (0.6509, 0.1509, 0.0000)  2 Zn 2.85
Li (0.8491, 0.6509, 0.0000)  2 Zn 2.85
K (0.3119, 0.1881, 0.5000)  2 Li 3.48, 4 K 3.87
K (0.6881, 0.8119, 0.5000)  2 Li 3.48, 4 K 3.87
K (0.8119, 0.3119, 0.5000)  2 Li 3.48, 4 K 3.87
K (0.1881, 0.6881, 0.5000)  2 Li 3.48, 4 K 3.87
Zn (0.0000, 0.0000, 0.0000)  4 Li 2.85
Zn (0.5000, 0.5000, 0.0000)  4 Li 2.85


Please write out number 1 again, unchanged.
Li2ReOs | PBE | optimized geometry

* energy: -6.15 eV/atom

Cell: 3.1807 3.1807 5.0410 Å, 90.00 90.00 90.00°
Closest atoms and distances in Å follow each position.
Positions (direct):
Os (0.5000, 0.5000, 0.2500)  2 Re 2.52, 8 Li 2.56
Re (0.5000, 0.5000, 0.7500)  2 Os 2.52, 8 Li 2.60
Li (0.0000, 0.0000, 0.4905)  2 Li 2.42-2.62, 4 Os 2.56, 4 Re 2.60
Li (0.0000, 0.0000, 0.0095)  2 Li 2.42-2.62, 4 Os 2.56, 4 Re 2.60


What did the fifth record say?
AlGa4Ag2 | PBE | optimized geometry

* energy: -3.07 eV/atom

Cell: 3.1053 3.1053 15.1035 Å, 84.10 84.10 60.00°
Closest atoms and distances in Å follow each position.
Positions (direct):
Ga (0.1433, 0.1433, 0.5702)  3 Ga 2.77, 3 Ag 2.84
Ga (0.8567, 0.8567, 0.4298)  3 Ga 2.77, 3 Ag 2.84
Ga (0.3797, 0.3797, 0.8608)  3 Al 2.75, 3 Ag 2.80
Ga (0.6203, 0.6203, 0.1392)  3 Al 2.75, 3 Ag 2.80
Ag (0.7609, 0.7609, 0.7172)  6 Ga 2.80-2.84, 6 Ag 3.11
Ag (0.2391, 0.2391, 0.2828)  6 Ga 2.80-2.84, 6 Ag 3.11
Al (0.0000, 0.0000, 0.0000)  6 Ga 2.75


energy of number 1 (Li2ReOs)?
-6.15 eV/atom


Among the records above, which one has the lowest energy?
NdErSi2Pt2